VASP calculation (GGA-PBE) on a relaxed structure of Er3Cd3Ga2Au.

Lattice parameters (Å, degrees): 7.2919 7.2919 4.3260 90.00 90.00 120.00
Fractional coordinates of all 9 atoms:
1 Er 0.0000 0.5861 0.0000
2 Er 0.5861 0.0000 0.0000
3 Er 0.4139 0.4139 0.0000
4 Ga 0.6667 0.3333 0.5000
5 Ga 0.3333 0.6667 0.5000
6 Cd 0.2555 0.0000 0.5000
7 Cd 0.0000 0.2555 0.5000
8 Cd 0.7445 0.7445 0.5000
9 Au 0.0000 0.0000 0.0000

**Crystal system**: hexagonal
**Magnetization**: 0.00 μB per formula unit
**VASP energy**: -3.419 eV/atom
**SG**: P-62m, No. 189
**Calculated density**: 9.798 g/cm3